Record 1
A plane-wave DFT calculation with PBE-GGA was carried out for a relaxed BSbAsCl2 crystal.

a = 4.3048 Å, b = 5.1463 Å, c = 4.3048 Å
α = 90.00°, β = 90.00°, γ = 90.00°
Element x y z (fractional)
As: 0.5000 0.5000 0.5000
B: 0.0000 0.0000 0.0000
Sb: 0.0000 0.5000 0.0000
Cl: 0.5000 0.0000 0.0000
Cl: 0.0000 0.0000 0.5000

Calculated values
V: 19.07 Å³ per atom
Raw formation energy: 520 meV per atom
E_tot: -3.3085 eV/atom
Crystal system: tetragonal

Record 2
A plane-wave DFT calculation with PBE-GGA was carried out for a relaxed ScB2AsCl crystal.

a = 4.7385 Å, b = 5.1934 Å, c = 4.7385 Å
α = 90.00°, β = 90.00°, γ = 90.00°
Site moments in Bohr magnetons follow the coordinates.
Element x y z (fractional)
Sc: 0.0000 0.0000 0.0000  0.10
As: 0.0000 0.5000 0.0000  -0.03
B: 0.0000 0.0000 0.5000  0.10
B: 0.5000 0.0000 0.0000  0.08
Cl: 0.5000 0.5000 0.5000  0.03

Calculated values
V: 23.32 Å³ per atom
Raw formation energy: 1512 meV per atom
E_tot: -3.7244 eV/atom
Crystal system: tetragonal